Material: YThMgCu
Method: DFT, PBE-GGA
State: optimized geometry

Structure (CIF):
```
data_YThMgCu
_chemical_formula_sum 'Y1 Th1 Mg1 Cu1'
_space_group_name_H-M_alt 'P 1'
_space_group_IT_number 1
_cell_length_a 5.203
_cell_length_b 5.203
_cell_length_c 5.203
_cell_angle_alpha 60.00
_cell_angle_beta 60.00
_cell_angle_gamma 60.00
loop_
_space_group_symop_operation_xyz
'x,y,z'
loop_
_atom_site_label
_atom_site_fract_x
_atom_site_fract_y
_atom_site_fract_z
Y1 0.000 0.000 0.000
Th1 0.500 0.500 0.500
Mg1 0.750 0.750 0.750
Cu1 0.250 0.250 0.250
```

Summary:
- Formation enthalpy at 0 K: 0.04 eV per atom
- Symmetry: F-43m (216)
- Total moment: 0.003 Bohr magnetons per cell